i:
A plane-wave DFT calculation with PBE-GGA was carried out for a relaxed structure of Er3Zn4Ga4.

The structure in POSCAR format:
```
Er3Zn4Ga4
1.0
-2.150 3.388 7.125
2.150 -3.388 7.125
2.150 3.388 -7.125
Er Zn Ga
3 4 4
Direct
0.000 0.000 0.000 Er
0.375 0.875 0.500 Er
0.625 0.125 0.500 Er
0.023 0.334 0.689 Zn
0.355 0.666 0.689 Zn
0.645 0.334 0.311 Zn
0.977 0.666 0.311 Zn
0.219 0.219 0.000 Ga
0.312 0.500 0.812 Ga
0.688 0.500 0.188 Ga
0.781 0.781 0.000 Ga
```

Calculated values
Symmetry ... Immm

***

ii:
A plane-wave DFT calculation with PBE-GGA was carried out for a relaxed structure of Er3Zn4Ga4.

The structure in POSCAR format:
```
Er3Zn4Ga4
1.0
3.680 0.000 0.000
-0.001 4.332 0.000
-1.834 -2.165 13.186
Er Zn Ga
3 4 4
Direct
0.000 0.000 0.000 Er
0.145 0.644 0.288 Er
0.855 0.356 0.712 Er
0.257 0.257 0.513 Zn
0.407 0.906 0.812 Zn
0.593 0.094 0.188 Zn
0.743 0.743 0.487 Zn
0.312 0.813 0.624 Ga
0.451 0.452 0.903 Ga
0.549 0.548 0.097 Ga
0.688 0.187 0.376 Ga
```

Calculated values
Symmetry ... P-1

***

Order from most stable to least stable according to the calculation: i, ii

***

i:
A plane-wave DFT calculation with PBE-GGA was carried out for a relaxed structure of ErZn2Ga4.

The structure in POSCAR format:
```
ErZn2Ga4
1.0
4.759 -2.972 0.000
4.759 2.972 0.000
-2.000 0.000 4.558
Er Zn Ga
1 2 4
Direct
0.000 0.000 0.000 Er
0.469 0.469 0.734 Zn
0.531 0.531 0.266 Zn
0.029 0.585 0.297 Ga
0.415 0.971 0.703 Ga
0.585 0.029 0.297 Ga
0.971 0.415 0.703 Ga
```

Calculated values
Symmetry ... C2/m

***

ii:
A plane-wave DFT calculation with PBE-GGA was carried out for a relaxed structure of ErZn2Ga4.

The structure in POSCAR format:
```
ErZn2Ga4
1.0
2.036 1.175 10.091
-2.036 1.175 10.091
0.000 -2.350 10.091
Er Zn Ga
1 2 4
Direct
0.000 0.000 0.000 Er
0.187 0.187 0.187 Zn
0.813 0.813 0.813 Zn
0.101 0.101 0.101 Ga
0.272 0.272 0.272 Ga
0.728 0.728 0.728 Ga
0.899 0.899 0.899 Ga
```

Calculated values
Symmetry ... R-3m

***

Order from most stable to least stable according to the calculation: i, ii

***

i:
A plane-wave DFT calculation with PBE-GGA was carried out for a relaxed structure of Er5ZnGa2.

The structure in POSCAR format:
```
Er5ZnGa2
1.0
-3.726 3.726 7.251
3.726 -3.726 7.251
3.726 3.726 -7.251
Er Zn Ga
10 2 4
Direct
0.000 0.000 0.000 Er
0.024 0.524 0.842 Er
0.181 0.024 0.500 Er
0.319 0.819 0.842 Er
0.476 0.319 0.500 Er
0.500 0.500 0.000 Er
0.524 0.681 0.500 Er
0.681 0.181 0.158 Er
0.819 0.976 0.500 Er
0.976 0.476 0.158 Er
0.250 0.250 0.000 Zn
0.750 0.750 0.000 Zn
0.122 0.378 0.500 Ga
0.378 0.878 0.256 Ga
0.622 0.122 0.744 Ga
0.878 0.622 0.500 Ga
```

Calculated values
Symmetry ... I4/mcm

***

ii:
A plane-wave DFT calculation with PBE-GGA was carried out for a relaxed structure of Er5ZnGa2.

The structure in POSCAR format:
```
Er5ZnGa2
1.0
2.635 -5.140 0.000
2.635 5.140 0.000
0.000 0.000 15.406
Er Zn Ga
10 2 4
Direct
0.079 0.921 0.600 Er
0.079 0.921 0.900 Er
0.341 0.659 0.250 Er
0.387 0.613 0.572 Er
0.387 0.613 0.928 Er
0.613 0.387 0.072 Er
0.613 0.387 0.428 Er
0.659 0.341 0.750 Er
0.921 0.079 0.100 Er
0.921 0.079 0.400 Er
0.302 0.698 0.750 Zn
0.698 0.302 0.250 Zn
0.226 0.774 0.082 Ga
0.226 0.774 0.418 Ga
0.774 0.226 0.582 Ga
0.774 0.226 0.918 Ga
```

Calculated values
Symmetry ... Cmcm

***

Order from most stable to least stable according to the calculation: i, ii

***

i:
A plane-wave DFT calculation with PBE-GGA was carried out for a relaxed structure of Er3ZnGa.

The structure in POSCAR format:
```
Er3ZnGa
1.0
2.486 -9.788 0.000
2.486 9.788 0.000
0.000 0.000 4.968
Er Zn Ga
6 2 2
Direct
0.067 0.933 0.750 Er
0.249 0.751 0.750 Er
0.432 0.568 0.750 Er
0.568 0.432 0.250 Er
0.751 0.249 0.250 Er
0.933 0.067 0.250 Er
0.158 0.842 0.250 Zn
0.842 0.158 0.750 Zn
0.339 0.661 0.250 Ga
0.661 0.339 0.750 Ga
```

Calculated values
Symmetry ... Cmcm

***

ii:
A plane-wave DFT calculation with PBE-GGA was carried out for a relaxed structure of Er3ZnGa.

The structure in POSCAR format:
```
Er3ZnGa
1.0
8.119 -4.759 0.000
8.119 4.759 0.000
-0.001 0.000 6.382
Er Zn Ga
12 4 4
Direct
0.074 0.220 0.500 Er
0.189 0.690 0.000 Er
0.220 0.074 0.000 Er
0.283 0.420 0.499 Er
0.310 0.811 0.500 Er
0.420 0.283 0.999 Er
0.580 0.717 0.001 Er
0.690 0.189 0.500 Er
0.717 0.580 0.501 Er
0.780 0.926 0.000 Er
0.811 0.310 0.000 Er
0.926 0.780 0.500 Er
0.001 0.499 0.805 Zn
0.499 0.001 0.305 Zn
0.501 0.999 0.695 Zn
0.999 0.501 0.195 Zn
0.000 0.000 0.250 Ga
0.000 0.000 0.750 Ga
0.500 0.500 0.250 Ga
0.500 0.500 0.750 Ga
```

Calculated values
Symmetry ... C2/c

***

Order from most stable to least stable according to the calculation: i, ii

***

i:
A plane-wave DFT calculation with PBE-GGA was carried out for a relaxed structure of Er4Zn3Ga.

The structure in POSCAR format:
```
Er4Zn3Ga
1.0
3.675 0.000 0.000
0.000 4.434 0.000
0.000 0.000 11.182
Er Zn Ga
4 3 1
Direct
0.000 0.000 0.000 Er
0.000 0.500 0.300 Er
0.500 0.000 0.495 Er
0.500 0.500 0.802 Er
0.000 0.500 0.578 Zn
0.500 0.000 0.220 Zn
0.500 0.500 0.078 Zn
0.000 0.000 0.723 Ga
```

Calculated values
Symmetry ... Pmm2

***

ii:
A plane-wave DFT calculation with PBE-GGA was carried out for a relaxed structure of Er4Zn3Ga.

The structure in POSCAR format:
```
Er4Zn3Ga
1.0
2.500 1.443 8.180
-2.500 1.443 8.180
0.000 -2.887 8.180
Er Zn Ga
4 3 1
Direct
0.125 0.125 0.125 Er
0.375 0.375 0.375 Er
0.625 0.625 0.625 Er
0.875 0.875 0.875 Er
0.248 0.248 0.248 Zn
0.500 0.500 0.500 Zn
0.752 0.752 0.752 Zn
0.000 0.000 0.000 Ga
```

Calculated values
Symmetry ... R-3m

***

Order from most stable to least stable according to the calculation: ii, i

***

i:
A plane-wave DFT calculation with PBE-GGA was carried out for a relaxed structure of ErZn3Ga3.

The structure in POSCAR format:
```
ErZn3Ga3
1.0
0.000 5.914 5.914
5.914 0.000 5.914
5.914 5.914 0.000
Er Zn Ga
2 6 6
Direct
0.250 0.250 0.250 Er
0.750 0.750 0.750 Er
0.151 0.151 0.849 Zn
0.151 0.849 0.151 Zn
0.151 0.849 0.849 Zn
0.849 0.151 0.151 Zn
0.849 0.151 0.849 Zn
0.849 0.849 0.151 Zn
0.344 0.344 0.656 Ga
0.344 0.656 0.344 Ga
0.344 0.656 0.656 Ga
0.656 0.344 0.344 Ga
0.656 0.344 0.656 Ga
0.656 0.656 0.344 Ga
```

Calculated values
Symmetry ... Fm-3m

***

ii:
A plane-wave DFT calculation with PBE-GGA was carried out for a relaxed structure of ErZn3Ga3.

The structure in POSCAR format:
```
ErZn3Ga3
1.0
6.853 0.000 0.000
0.000 6.853 0.000
0.000 0.000 6.853
Er Zn Ga
2 6 6
Direct
0.000 0.000 0.000 Er
0.500 0.500 0.500 Er
0.000 0.250 0.500 Zn
0.000 0.750 0.500 Zn
0.250 0.500 0.000 Zn
0.500 0.000 0.250 Zn
0.500 0.000 0.750 Zn
0.750 0.500 0.000 Zn
0.000 0.500 0.250 Ga
0.000 0.500 0.750 Ga
0.250 0.000 0.500 Ga
0.500 0.250 0.000 Ga
0.500 0.750 0.000 Ga
0.750 0.000 0.500 Ga
```

Calculated values
Symmetry ... Pm-3n

***

Order from most stable to least stable according to the calculation: ii, i